1.
# Pt4Au

An optimized crystal structure of Pt4Au (PBE, Alexandria).

```
5
Lattice="4.883 0.000 0.000 0.000 4.883 0.000 0.000 0.000 4.883" Properties=species:S:1:pos:R:3 pbc="T T T"
Pt 0.000 0.000 0.000
Pt 0.000 2.441 2.441
Pt 2.441 0.000 2.441
Pt 2.441 2.441 0.000
Au 2.441 2.441 2.441
```

## Properties
The calculated total energy comes out at -3.747 eV/atom. As for the energy relative to the elements: 1.74 eV/atom. The space-group type is Pm-3m, No. 221.

2.
# PtAu5

An optimized crystal structure of PtAu5 (PBE, Alexandria).

```
12
Lattice="9.725 0.000 0.000 0.000 2.904 0.000 -3.545 0.000 7.487" Properties=species:S:1:pos:R:3 pbc="T T T"
Pt 0.000 0.000 0.000
Pt 4.862 1.452 0.000
Au -1.772 0.000 3.744
Au -1.380 1.452 6.264
Au 0.467 1.452 2.460
Au 0.850 0.000 5.027
Au 2.697 0.000 1.224
Au 3.090 1.452 3.744
Au 3.482 0.000 6.264
Au 5.329 0.000 2.460
Au 5.712 1.452 5.027
Au 7.560 1.452 1.224
```

## Properties
The calculated total energy comes out at -3.717 eV/atom. As for the energy relative to the elements: 0.02 eV/atom. The space-group type is C2/m, No. 12.